## MgSnHg (PBE)

Data for a geometry-optimized MgSnHg structure.

a = 7.1142 Å, b = 6.3936 Å, c = 3.3048 Å
α = 89.99°, β = 90.00°, γ = 87.25°
Positions (direct):
Hg 0.4635 0.9339 0.9177
Sn 0.8729 0.7227 0.9182
Hg 0.2243 0.4020 0.9178
Mg 0.1315 0.0067 0.4179
Mg 0.5326 0.5376 0.4182
Sn 0.8012 0.2302 0.9186

Computed properties:
Formation enthalpy at 0 K   -0.055 eV per atom
Crystal system   monoclinic
Total magnetic moment   0.000 μB/atom
Total energy   -12.1 eV per cell



## CaMn2Te3 (PBE)

Data for a geometry-optimized CaMn2Te3 structure.

a = 4.2455 Å, b = 4.2455 Å, c = 10.4712 Å
α = 90.00°, β = 90.00°, γ = 120.00°
Site moments in Bohr magnetons follow the coordinates.
Positions (direct):
Te 0.6667 0.3333 0.8098  0.07
Ca 0.0000 0.0000 0.0000  0.05
Te 0.3333 0.6667 0.1902  0.07
Mn 0.3333 0.6667 0.6586  4.28
Mn 0.6667 0.3333 0.3414  4.28
Te 0.0000 0.0000 0.5000  0.09

Computed properties:
Crystal system   trigonal
Uncorrected formation energy   -537.1 meV/atom
Total magnetic moment   1.642 μB/atom
Total energy   -33.0 eV per cell



## KGe2Te4 (PBE)

Data for a geometry-optimized KGe2Te4 structure.

a = 8.3169 Å, b = 8.3168 Å, c = 9.4338 Å
α = 101.60°, β = 101.60°, γ = 121.91°
Positions (direct):
Te 0.3817 0.1746 0.3645
Te 0.4246 0.1317 0.8644
Te 0.9507 0.6141 0.7398
Ge 0.5504 0.3604 0.6843
Ge 0.6722 0.8634 0.3167
Ge 0.6103 0.3004 0.1843
Te 0.4605 0.6238 0.7601
K 0.0074 0.0083 0.9985
Te 0.8738 0.2105 0.2600
Ge 0.1134 0.4222 0.8167
Te 0.2717 0.5608 0.1362
K 0.2584 0.7574 0.4985
Te 0.8641 0.7006 0.2398
Te 0.8108 0.0217 0.6362

Computed properties:
Polymorph energy (0 for the lowest one)   19 meV/atom
Crystal system   monoclinic
Uncorrected formation energy   -206.3 meV/atom
Total magnetic moment   0.000 μB/atom
Total energy   -48.7 eV per cell



## SmLuRh2 (PBE)

Data for a geometry-optimized SmLuRh2 structure.

a = 3.3706 Å, b = 3.3706 Å, c = 7.0783 Å
α = 90.00°, β = 90.00°, γ = 90.00°
Positions (direct):
Rh 0.0000 0.0000 0.2350
Rh 0.0000 0.0000 0.7650
Lu 0.5000 0.5000 0.0000
Sm 0.5000 0.5000 0.5000

Computed properties:
Formation enthalpy at 0 K   -0.851 eV per atom
Crystal system   tetragonal
Total magnetic moment   0.000 μB/atom
Total energy   -27.3 eV per cell